[1]
VASP calculation (GGA-PBE) on an optimized crystal structure of LiTaSi.

Lattice parameters (Å, degrees): 4.2497 4.2497 4.2497 60.00 60.00 60.00
Atoms (fractional coordinates):
Li 0.0000 0.0000 0.0000
Si 0.5000 0.5000 0.5000
Ta 0.7500 0.7500 0.7500

Computed properties:
ρ = 6.6 g cm⁻³
Raw formation energy = 611 meV per atom

=====

[2]
VASP calculation (GGA-PBE) on an optimized crystal structure of AcAs12Os4.

Lattice parameters (Å, degrees): 7.4991 7.4991 7.4991 109.47 109.47 109.47
Atoms (fractional coordinates):
Ac 0.0000 0.0000 0.0000
As 0.8492 0.3496 0.1987
As 0.3496 0.5004 0.1508
As 0.8013 0.1508 0.6504
As 0.3496 0.1987 0.8492
As 0.1987 0.8492 0.3496
As 0.6504 0.4996 0.8492
As 0.5004 0.1508 0.3496
As 0.4996 0.8492 0.6504
As 0.6504 0.8013 0.1508
As 0.8492 0.6504 0.4996
As 0.1508 0.3496 0.5004
As 0.1508 0.6504 0.8013
Os 0.0000 0.5000 0.0000
Os 0.5000 0.0000 0.0000
Os 0.5000 0.5000 0.5000
Os 0.0000 0.0000 0.5000

Computed properties:
ρ = 9.7 g cm⁻³
ΔH_f (0 K) = -0.3707 eV/atom